Entry 1:
Pr4GeS2Br: relaxed, PBE-GGA.

## Properties
Its crystal system is monoclinic. Its spin magnetization is 0.00 μB per cell. As for the energy relative to the elements, uncorrected: -1.570 eV/atom. The volume comes out at 26.8 Å³ per atom.

Cell lengths 7.2833, 4.1924, 7.4185 Å; angles 90.00, 108.90, 90.00 degrees
Space group P2/m (No. 10)
Asymmetric unit:
Pr: 0.2239 0.0000 0.2216
Pr: 0.2376 0.5000 0.7625
Ge: 0.5000 0.0000 0.0000
S: 0.0000 0.0000 0.5000
S: 0.0000 0.5000 0.0000
Br: 0.5000 0.5000 0.5000

---

Entry 2:
Pr3GeSbBr: relaxed, PBE-GGA.

## Properties
Its crystal system is monoclinic. Its spin magnetization is 0.00 μB per cell. As for the energy relative to the elements, uncorrected: -1.069 eV/atom. The volume comes out at 31.4 Å³ per atom.

Cell lengths 7.6764, 4.3269, 11.6072 Å; angles 90.00, 102.10, 90.00 degrees
Space group P2_1/m (No. 11)
Asymmetric unit:
Pr: 0.0446 0.2500 0.1541
Pr: 0.2138 0.7500 0.5033
Pr: 0.4539 0.7500 0.8544
Ge: 0.2669 0.7500 0.0628
Sb: 0.1515 0.2500 0.6927
Br: 0.3783 0.2500 0.3700

---

Entry 3:
Pr6GeSe2Br3: relaxed, PBE-GGA.

## Properties
Its crystal system is monoclinic. Its spin magnetization is 0.00 μB per cell. As for the energy relative to the elements, uncorrected: -1.391 eV/atom. The volume comes out at 29.2 Å³ per atom.

Cell lengths 19.1211, 4.3976, 8.6493 Å; angles 90.00, 105.53, 90.00 degrees
Space group C2/m (No. 12)
Asymmetric unit:
Pr: 0.0083 0.0000 0.2287
Pr: 0.1576 0.5000 0.1019
Pr: 0.1746 0.5000 0.5556
Ge: 0.0000 0.5000 0.0000
Se: 0.1675 0.0000 0.3303
Br: 0.0000 0.5000 0.5000
Br: 0.1642 0.0000 0.8297

---

Entry 4:
Pr8Ge3Se4Br: relaxed, PBE-GGA.

## Properties
Its crystal system is trigonal. Its spin magnetization is 0.00 μB per cell. As for the energy relative to the elements, uncorrected: -1.467 eV/atom. The volume comes out at 28.4 Å³ per atom.

Cell lengths 8.6416, 8.6416, 21.0853 Å; angles 90.00, 90.00, 120.00 degrees
Space group R-3m (No. 166, hexagonal axes)
Asymmetric unit:
Pr: 0.0000 0.0000 0.2472
Pr: 0.0142 0.5071 0.7512
Ge: 0.0000 0.5000 0.5000
Se: 0.0000 0.0000 0.0000
Se: 0.0000 0.5000 0.0000
Br: 0.0000 0.0000 0.5000

---

Entry 5:
Pr6Ge2SeBr3: relaxed, PBE-GGA.

## Properties
Its crystal system is monoclinic. Its spin magnetization is 0.00 μB per cell. As for the energy relative to the elements, uncorrected: -1.296 eV/atom. The volume comes out at 29.6 Å³ per atom.

Cell lengths 7.4721, 12.9471, 7.7557 Å; angles 90.00, 108.73, 90.00 degrees
Space group C2/m (No. 12)
Asymmetric unit:
Pr: 0.2327 0.0000 0.2124
Pr: 0.2397 0.3310 0.2124
Ge: 0.0000 0.1666 0.0000
Se: 0.0000 0.5000 0.0000
Br: 0.0000 0.0000 0.5000
Br: 0.0000 0.3309 0.5000

---

Entry 6:
Pr8SiGe3Br4: relaxed, PBE-GGA.

## Properties
Its crystal system is trigonal. Its spin magnetization is 0.00 μB per cell. As for the energy relative to the elements, uncorrected: -1.146 eV/atom. The volume comes out at 29.9 Å³ per atom.

Cell lengths 8.6604, 8.6604, 22.1153 Å; angles 90.00, 90.00, 120.00 degrees
Space group R-3m (No. 166, hexagonal axes)
Asymmetric unit:
Pr: 0.0000 0.0000 0.2379
Pr: 0.0023 0.5011 0.2377
Si: 0.0000 0.0000 0.5000
Ge: 0.0000 0.5000 0.5000
Br: 0.0000 0.0000 0.0000
Br: 0.0000 0.5000 0.0000

---

Entry 7:
Pr6Si2GeBr3: relaxed, PBE-GGA.

## Properties
Its crystal system is monoclinic. Its spin magnetization is 0.00 μB per cell. As for the energy relative to the elements, uncorrected: -1.110 eV/atom. The volume comes out at 29.8 Å³ per atom.

Cell lengths 19.3405, 4.3204, 8.9056 Å; angles 90.00, 105.94, 90.00 degrees
Space group C2/m (No. 12)
Asymmetric unit:
Pr: 0.0097 0.0000 0.2322
Pr: 0.1599 0.5000 0.1082
Pr: 0.1754 0.5000 0.5631
Si: 0.1668 0.0000 0.3344
Ge: 0.0000 0.5000 0.0000
Br: 0.0000 0.5000 0.5000
Br: 0.1661 0.0000 0.8336

---

Entry 8:
Pr4SiGeBr2: relaxed, PBE-GGA.

## Properties
Its crystal system is monoclinic. Its spin magnetization is 0.00 μB per cell. As for the energy relative to the elements, uncorrected: -1.123 eV/atom. The volume comes out at 29.9 Å³ per atom.

Cell lengths 7.4758, 4.3272, 7.8000 Å; angles 90.00, 108.71, 90.00 degrees
Space group P2/m (No. 10)
Asymmetric unit:
Pr: 0.2349 0.0000 0.2122
Pr: 0.2601 0.5000 0.7872
Si: 0.0000 0.5000 0.0000
Ge: 0.5000 0.0000 0.0000
Br: 0.0000 0.0000 0.5000
Br: 0.5000 0.5000 0.5000

---

Entry 9:
Pr6SiGe2Br3: relaxed, PBE-GGA.

## Properties
Its crystal system is monoclinic. Its spin magnetization is 0.00 μB per cell. As for the energy relative to the elements, uncorrected: -1.137 eV/atom. The volume comes out at 29.9 Å³ per atom.

Cell lengths 19.3229, 4.3324, 8.8933 Å; angles 90.00, 105.57, 90.00 degrees
Space group C2/m (No. 12)
Asymmetric unit:
Pr: 0.0070 0.0000 0.2265
Pr: 0.1569 0.5000 0.0997
Pr: 0.1744 0.5000 0.5622
Si: 0.0000 0.5000 0.0000
Ge: 0.1669 0.0000 0.3325
Br: 0.0000 0.5000 0.5000
Br: 0.1670 0.0000 0.8328

---

Entry 10:
Pr8Si3GeBr4: relaxed, PBE-GGA.

## Properties
Its crystal system is monoclinic. Its spin magnetization is 0.00 μB per cell. As for the energy relative to the elements, uncorrected: -1.112 eV/atom. The volume comes out at 29.8 Å³ per atom.

Cell lengths 14.9400, 8.6253, 8.9259 Å; angles 90.00, 123.91, 90.00 degrees
Space group C2/m (No. 12)
Asymmetric unit:
Pr: 0.0131 0.2477 0.2880
Pr: 0.2374 0.0000 0.7110
Pr: 0.2377 0.5000 0.7111
Si: 0.0000 0.0000 0.5000
Si: 0.2500 0.2500 0.5000
Ge: 0.0000 0.5000 0.5000
Br: 0.0000 0.0000 0.0000
Br: 0.0000 0.5000 0.0000
Br: 0.2500 0.2500 0.0000

---

Entry 11:
PrSmGeBr: relaxed, PBE-GGA.

## Properties
Its crystal system is orthorhombic. Its spin magnetization is 0.00 μB per cell. As for the energy relative to the elements, uncorrected: -0.830 eV/atom. The volume comes out at 33.6 Å³ per atom.

Cell lengths 5.9503, 5.0809, 8.8941 Å; angles 90.00, 90.00, 90.00 degrees
Space group Amm2 (No. 38)
Asymmetric unit:
Pr: 0.0000 0.0000 0.0000
Sm: 0.5000 0.0000 0.6686
Ge: 0.5000 0.0000 0.0003
Br: 0.0000 0.0000 0.6686

---

Entry 12:
Pr8Ge3TeBr4: relaxed, PBE-GGA.

## Properties
Its crystal system is trigonal. Its spin magnetization is 0.00 μB per cell. As for the energy relative to the elements, uncorrected: -1.206 eV/atom. The volume comes out at 30.4 Å³ per atom.

Cell lengths 8.8051, 8.8051, 21.7504 Å; angles 90.00, 90.00, 120.00 degrees
Space group R-3m (No. 166, hexagonal axes)
Asymmetric unit:
Pr: 0.0000 0.0000 0.2379
Pr: 0.0225 0.5112 0.7600
Ge: 0.0000 0.5000 0.5000
Te: 0.0000 0.0000 0.5000
Br: 0.0000 0.0000 0.0000
Br: 0.0000 0.5000 0.0000

---

Entry 13:
Pr8Ge3Te4Br: relaxed, PBE-GGA.

## Properties
Its crystal system is trigonal. Its spin magnetization is 0.00 μB per cell. As for the energy relative to the elements, uncorrected: -1.283 eV/atom. The volume comes out at 31.1 Å³ per atom.

Cell lengths 8.8393, 8.8393, 22.0842 Å; angles 90.00, 90.00, 120.00 degrees
Space group R-3m (No. 166, hexagonal axes)
Asymmetric unit:
Pr: 0.0000 0.0000 0.2417
Pr: 0.0146 0.5073 0.7574
Ge: 0.0000 0.5000 0.5000
Te: 0.0000 0.0000 0.0000
Te: 0.0000 0.5000 0.0000
Br: 0.0000 0.0000 0.5000

---

Entry 14:
Pr4GeTeBr2: relaxed, PBE-GGA.

## Properties
Its crystal system is monoclinic. Its spin magnetization is 0.00 μB per cell. As for the energy relative to the elements, uncorrected: -1.237 eV/atom. The volume comes out at 30.7 Å³ per atom.

Cell lengths 7.5597, 4.4034, 7.8397 Å; angles 90.00, 109.63, 90.00 degrees
Space group P2/m (No. 10)
Asymmetric unit:
Pr: 0.2207 0.0000 0.2166
Pr: 0.2323 0.5000 0.7752
Ge: 0.0000 0.5000 0.0000
Te: 0.0000 0.0000 0.5000
Br: 0.5000 0.0000 0.0000
Br: 0.5000 0.5000 0.5000

---

Entry 15:
Pr6TlGe2Br3: relaxed, PBE-GGA.

## Properties
Its crystal system is monoclinic. Its spin magnetization is 0.00 μB per cell. As for the energy relative to the elements, uncorrected: -1.016 eV/atom. The volume comes out at 30.7 Å³ per atom.

Cell lengths 19.3370, 4.3553, 8.9618 Å; angles 90.00, 102.79, 90.00 degrees
Space group C2/m (No. 12)
Asymmetric unit:
Pr: 0.0101 0.0000 0.2553
Pr: 0.1663 0.5000 0.1137
Pr: 0.1752 0.5000 0.5685
Tl: 0.0000 0.5000 0.0000
Ge: 0.1676 0.0000 0.3383
Br: 0.0000 0.5000 0.5000
Br: 0.1665 0.0000 0.8344

---

Entry 16:
Pr8ZnGe3Br4: relaxed, PBE-GGA.

## Properties
Its crystal system is trigonal. Its spin magnetization is 0.00 μB per cell. As for the energy relative to the elements, uncorrected: -1.037 eV/atom. The volume comes out at 29.6 Å³ per atom.

Cell lengths 8.6795, 8.6795, 21.8038 Å; angles 90.00, 90.00, 120.00 degrees
Space group R-3m (No. 166, hexagonal axes)
Asymmetric unit:
Pr: 0.0000 0.0000 0.2389
Pr: 0.0017 0.5008 0.7595
Zn: 0.0000 0.0000 0.5000
Ge: 0.0000 0.5000 0.5000
Br: 0.0000 0.0000 0.0000
Br: 0.0000 0.5000 0.0000

---

Entry 17:
Ge3PtBr: relaxed, PBE-GGA.

## Properties
Its crystal system is cubic. The value obtained for the distance to the lowest polymorph of the same formula is 0.000 eV per atom. Its spin magnetization is 0.00 μB per cell. As for the energy relative to the elements, uncorrected: 0.200 eV/atom. The volume comes out at 24.7 Å³ per atom.

Cell lengths 4.9786, 4.9786, 4.9786 Å; angles 90.00, 90.00, 90.00 degrees
Space group Pm-3m (No. 221)
Asymmetric unit:
Ge: 0.0000 0.0000 0.5000
Pt: 0.0000 0.0000 0.0000
Br: 0.5000 0.5000 0.5000

---

Entry 18:
Ge3PtBr: relaxed, PBE-GGA.

## Properties
Its crystal system is cubic. The value obtained for the distance to the lowest polymorph of the same formula is 1.011 eV per atom. Its spin magnetization is 0.00 μB per cell. As for the energy relative to the elements, uncorrected: 1.210 eV/atom. The volume comes out at 25.5 Å³ per atom.

Cell lengths 5.0348, 5.0348, 5.0348 Å; angles 90.00, 90.00, 90.00 degrees
Space group Pm-3m (No. 221)
Asymmetric unit:
Ge: 0.0000 0.0000 0.5000
Pt: 0.5000 0.5000 0.5000
Br: 0.0000 0.0000 0.0000

---

Entry 19:
GePtBr3: relaxed, PBE-GGA.

## Properties
Its crystal system is cubic. The value obtained for the distance to the lowest polymorph of the same formula is 0.351 eV per atom. Its spin magnetization is 0.80 μB per cell. As for the energy relative to the elements, uncorrected: 0.568 eV/atom. The volume comes out at 29.5 Å³ per atom.

Cell lengths 5.2858, 5.2858, 5.2858 Å; angles 90.00, 90.00, 90.00 degrees
Space group Pm-3m (No. 221)
Asymmetric unit:
Ge: 0.0000 0.0000 0.0000
Pt: 0.5000 0.5000 0.5000
Br: 0.0000 0.0000 0.5000

---

Entry 20:
GePt2Br: relaxed, PBE-GGA.

## Properties
Its crystal system is tetragonal. The value obtained for the distance to the lowest polymorph of the same formula is 0.000 eV per atom. Its spin magnetization is 0.00 μB per cell. As for the energy relative to the elements, uncorrected: 0.147 eV/atom. The volume comes out at 22.6 Å³ per atom.

Cell lengths 6.4422, 6.4422, 8.7281 Å; angles 90.00, 90.00, 90.00 degrees
Space group I-42d (No. 122)
Asymmetric unit:
Ge: 0.0000 0.0000 0.0000
Pt: 0.2180 0.2500 0.1250
Br: 0.0000 0.0000 0.5000